Model A:
16
Lattice="5.798 0.000 0.000 0.000 5.798 0.000 0.000 0.000 5.798" Properties=species:S:1:pos:R:3 comment="TcBiH2, relaxed, DFT PBE" magnetic_moment_mub_per_fu=0.00 dos_at_fermi_per_ev_cell=12.845 pbc="T T T"
Tc 0.000 0.000 0.000
Tc 0.000 2.899 2.899
Tc 2.899 0.000 2.899
Tc 2.899 2.899 0.000
Bi 0.000 0.000 2.899
Bi 0.000 2.899 0.000
Bi 2.899 0.000 0.000
Bi 2.899 2.899 2.899
H 1.449 1.449 1.449
H 1.449 1.449 4.348
H 1.449 4.348 1.449
H 1.449 4.348 4.348
H 4.348 1.449 1.449
H 4.348 1.449 4.348
H 4.348 4.348 1.449
H 4.348 4.348 4.348

---

Model B:
16
Lattice="4.417 0.000 0.000 0.000 4.417 0.000 0.000 0.000 10.607" Properties=species:S:1:pos:R:3 comment="TcBiH2, relaxed, DFT PBE" magnetic_moment_mub_per_fu=0.59 dos_at_fermi_per_ev_cell=11.183 pbc="T T T"
Tc 0.000 0.000 0.000
Tc 0.000 2.208 2.652
Tc 2.208 0.000 7.955
Tc 2.208 2.208 5.303
Bi 0.000 0.000 5.303
Bi 0.000 2.208 7.955
Bi 2.208 0.000 2.652
Bi 2.208 2.208 0.000
H 0.016 3.313 1.326
H 1.104 0.016 9.281
H 1.104 2.192 3.978
H 2.192 3.313 6.629
H 2.225 1.104 6.629
H 3.313 2.225 3.978
H 3.313 4.401 9.281
H 4.401 1.104 1.326

---

The winner here is model B, beating the second structure by 67.0 kJ/mol of atoms.